KLi2CeCl6 | PBE | optimized geometry

a b c (Å): 6.9867 6.9867 18.6895
angles (deg): 90.00 90.00 120.00
Closest atoms and distances in Å follow each position.
Space group R3 (No. 146, hexagonal axes)
Symmetry-distinct sites (fractional):
K 0.0000 0.0000 0.0000 [3 per cell]  6 Cl 3.07-3.23
Li 0.0000 0.0000 0.2179 [3 per cell]  3 Cl 2.49
Li 0.0000 0.0000 0.7238 [3 per cell]  6 Cl 2.55-2.82
Ce 0.0000 0.0000 0.5186 [3 per cell]  6 Cl 2.78
Cl 0.0027 0.3653 0.4579 [9 per cell]  2 Li 2.55-2.84, 1 Ce 2.78
Cl 0.0912 0.7490 0.2861 [9 per cell]  1 Li 2.49, 1 Ce 2.78

Properties
As for the energy relative to the elements, uncorrected: -1982 meV per atom.

BaTa2Be | PBE | optimized geometry

a b c (Å): 3.4159 3.4296 7.7696
angles (deg): 90.00 90.14 90.00
Closest atoms and distances in Å follow each position.
Space group Pm (No. 6)
Symmetry-distinct sites (fractional):
Ba 0.0000 0.0000 0.0000 [1 per cell]  4 Ba 3.42-3.43, 4 Be 3.48-3.49, 5 Ta 3.55-3.74
Ta 0.0005 0.0000 0.5425 [1 per cell]  4 Be 2.64, 4 Ta 2.78
Ta 0.4998 0.5000 0.3670 [1 per cell]  1 Be 2.42
Be 0.5008 0.5000 0.6780 [1 per cell]  5 Ta 2.42-2.64

Properties
Its calculated formation energy is 203 kJ/mol of formula units.

SrMnTc2 | PBE | optimized geometry

a b c (Å): 2.8387 4.9726 9.9939
angles (deg): 90.00 90.00 90.00
Closest atoms and distances in Å follow each position.
Space group Immm (No. 71)
Symmetry-distinct sites (fractional):
Sr 0.0000 0.0000 0.0000 [2 per cell]  2 Sr 2.84, 4 Mn 2.86
Mn 0.0000 0.0000 0.5000 [2 per cell]  4 Tc 2.54, 2 Mn 2.84
Tc 0.0000 0.5000 0.2111 [4 per cell]  2 Mn 2.54, 2 Tc 2.84

Properties
As for the energy relative to the lowest polymorph listed for this composition: 347 meV/atom. Its calculated formation energy is 298 kJ/mol of formula units.

no.,DFT total energy (eV per cell)
1,-125.27
2,-27.25
3,-57.00